The following is a PBE-GGA calculation of LiCo3Ag after structural relaxation, from Alexandria via LeMat-Bulk.

- Spin magnetization: 4.67 μB/f.u.
- Total energy: -4.230 eV/atom

a b c (Å): 3.996 3.996 3.996
angles (deg): 90.00 90.00 90.00
Site moments in Bohr magnetons follow the coordinates.
Atoms (fractional coordinates):
1 Li 0.000 0.000 0.000  -0.12
2 Ag 0.500 0.500 0.500  0.01
3 Co 0.000 0.500 0.000  1.74
4 Co 0.500 0.000 0.000  1.51
5 Co 0.000 0.000 0.500  1.67

***

The following is a PBE-GGA calculation of LiCoAg after structural relaxation, from Alexandria via LeMat-Bulk.

- Spin magnetization: 1.66 μB/f.u.
- Total energy: -3.715 eV/atom

a b c (Å): 7.115 6.903 2.665
angles (deg): 83.55 74.60 21.85
Site moments in Bohr magnetons follow the coordinates.
Atoms (fractional coordinates):
1 Li 0.672 0.672 0.328  -0.04
2 Ag 0.000 0.000 0.000  -0.01
3 Co 0.328 0.328 0.672  1.81

***

The following is a PBE-GGA calculation of LiCoAg after structural relaxation, from Alexandria via LeMat-Bulk.

- Spin magnetization: 1.83 μB/f.u.
- Total energy: -3.312 eV/atom

a b c (Å): 4.202 4.202 4.202
angles (deg): 60.00 60.00 60.00
Site moments in Bohr magnetons follow the coordinates.
Atoms (fractional coordinates):
1 Ag 0.500 0.500 0.500  0.05
2 Co 0.750 0.750 0.750  1.80
3 Li 0.000 0.000 0.000  -0.01

***

The following is a PBE-GGA calculation of Li2CoAg2 after structural relaxation, from Alexandria via LeMat-Bulk.

- Spin magnetization: 2.11 μB/f.u.
- Total energy: -2.931 eV/atom

a b c (Å): 3.399 3.399 7.300
angles (deg): 76.54 76.54 90.00
Site moments in Bohr magnetons follow the coordinates.
Atoms (fractional coordinates):
1 Ag 0.400 0.400 0.199  0.03
2 Li 0.750 0.250 0.500  0.04
3 Co 0.000 0.000 0.000  1.93
4 Li 0.250 0.750 0.500  0.04
5 Ag 0.600 0.600 0.801  0.03

***

The following is a PBE-GGA calculation of LiCoAg4 after structural relaxation, from Alexandria via LeMat-Bulk.

- Spin magnetization: 1.89 μB/f.u.
- Total energy: -3.013 eV/atom

a b c (Å): 5.417 5.417 5.417
angles (deg): 60.00 60.00 60.00
Site moments in Bohr magnetons follow the coordinates.
Atoms (fractional coordinates):
1 Co 0.250 0.250 0.250  1.95
2 Ag 0.126 0.625 0.625  0.00
3 Ag 0.625 0.126 0.625  0.00
4 Ag 0.625 0.625 0.126  0.00
5 Ag 0.625 0.625 0.625  0.00
6 Li 0.000 0.000 0.000  -0.01

***

The following is a PBE-GGA calculation of Li2CoAg2 after structural relaxation, from Alexandria via LeMat-Bulk.

- Spin magnetization: 1.63 μB/f.u.
- Total energy: -3.101 eV/atom

a b c (Å): 7.363 7.363 2.815
angles (deg): 90.00 90.00 90.00
Site moments in Bohr magnetons follow the coordinates.
Atoms (fractional coordinates):
1 Li 0.841 0.341 0.500  -0.02
2 Co 0.000 0.000 0.000  1.82
3 Li 0.659 0.841 0.500  -0.02
4 Ag 0.643 0.143 0.000  -0.01
5 Ag 0.357 0.857 0.000  -0.01
6 Ag 0.143 0.357 0.000  -0.01
7 Li 0.159 0.659 0.500  -0.02
8 Co 0.500 0.500 0.000  1.82
9 Li 0.341 0.159 0.500  -0.02
10 Ag 0.857 0.643 0.000  -0.01

***

The following is a PBE-GGA calculation of Li2CoAgN after structural relaxation, from Alexandria via LeMat-Bulk.

- E_form (uncorrected): -0.222 eV per atom
- Spin magnetization: 0.16 μB/f.u.

a b c (Å): 4.113 4.113 3.521
angles (deg): 90.00 90.00 90.00
Site moments in Bohr magnetons follow the coordinates.
Atoms (fractional coordinates):
1 Ag 0.500 0.500 0.500  0.00
2 Co 0.000 0.000 0.500  0.14
3 Li 0.000 0.500 0.000  0.00
4 Li 0.500 0.000 0.000  0.00
5 N 0.000 0.000 0.000  0.02

***

The following is a PBE-GGA calculation of LiCo2AgN after structural relaxation, from Alexandria via LeMat-Bulk.

- E_form (uncorrected): -0.096 eV per atom
- Spin magnetization: 0.82 μB/f.u.

a b c (Å): 3.666 3.666 4.224
angles (deg): 90.00 90.00 90.00
Site moments in Bohr magnetons follow the coordinates.
Atoms (fractional coordinates):
1 Li 0.000 0.000 0.500  0.00
2 Co 0.000 0.500 0.000  0.41
3 Co 0.500 0.000 0.000  0.41
4 Ag 0.500 0.500 0.500  -0.01
5 N 0.000 0.000 0.000  0.04